# 1
DFT (SCAN) results for a crystal of GaIrIN2 relaxed with PBEsol.

Values from the calculation:
- volume (Å³ per cell) = 86.66
- formation energy from raw total energies (eV per atom) = 1.68

Cell and atoms, written as POSCAR:
```
GaIrIN2
1.0
3.791 0.000 0.000
0.000 3.791 0.000
0.000 0.000 6.030
Ga Ir I N
1 1 1 2
Cartesian
0.000 0.000 0.000 Ga
1.895 1.895 3.015 Ir
0.000 0.000 3.015 I
0.000 1.895 0.000 N
1.895 0.000 0.000 N
```

***

# 2
DFT (SCAN) results for a crystal of Al3CoPt relaxed with PBEsol.

Values from the calculation:
- volume (Å³ per cell) = 100.68
- formation energy from the elements (meV/atom) = 200

Cell and atoms, written as POSCAR:
```
Al3CoPt
1.0
4.652 0.000 0.000
0.000 4.652 0.000
0.000 0.000 4.652
Al Co Pt
3 1 1
Cartesian
0.000 0.000 2.326 Al
0.000 2.326 0.000 Al
2.326 0.000 0.000 Al
2.326 2.326 2.326 Co
0.000 0.000 0.000 Pt
```

***

# 3
DFT (SCAN) results for a crystal of Fe3ReAg relaxed with PBEsol.

Values from the calculation:
- volume (Å³ per cell) = 85.64
- relative energy among the computed polymorphs (eV per atom) = 0.0000
- formation energy from the elements (meV/atom) = 1551

Cell and atoms, written as POSCAR:
```
Fe3ReAg
1.0
4.408 0.000 0.000
0.000 4.408 0.000
0.000 0.000 4.408
Fe Re Ag
3 1 1
Cartesian
0.000 0.000 2.204 Fe
0.000 2.204 0.000 Fe
2.204 0.000 0.000 Fe
0.000 0.000 0.000 Re
2.204 2.204 2.204 Ag
```

***

# 4
DFT (SCAN) results for a crystal of FeAsS2 relaxed with PBEsol.

Values from the calculation:
- volume (Å³ per cell) = 67.02
- formation energy from raw total energies (eV per atom) = -0.14

Cell and atoms, written as POSCAR:
```
FeAsS2
1.0
1.609 0.929 7.474
-1.609 0.929 7.474
0.000 -1.858 7.474
Fe As S
1 1 2
Cartesian
0.000 0.000 0.000 Fe
0.000 0.000 11.210 As
0.000 0.000 8.688 S
0.000 0.000 13.733 S
```

***

# 5
DFT (SCAN) results for a crystal of Ba8Bi10O27 relaxed with PBEsol.

Values from the calculation:
- volume (Å³ per cell) = 747.25
- formation energy from raw total energies (eV per atom) = -1.75

Cell and atoms, written as POSCAR:
```
Ba8Bi10O27
1.0
5.364 3.097 7.498
-5.364 3.097 7.498
0.000 -6.194 7.498
Ba Bi O
8 10 27
Cartesian
-1.814 -3.205 8.819 Ba
0.000 0.000 3.649 Ba
-3.682 -0.032 13.673 Ba
-1.869 3.173 8.819 Ba
1.869 -3.173 13.673 Ba
3.682 0.032 8.819 Ba
0.000 0.000 18.844 Ba
1.814 3.205 13.673 Ba
0.000 0.000 0.000 Bi
-3.539 -0.012 9.998 Bi
-1.759 -3.071 12.494 Bi
0.000 0.000 7.704 Bi
1.780 -3.059 9.998 Bi
0.000 0.000 11.246 Bi
-1.780 3.059 12.494 Bi
0.000 0.000 14.789 Bi
1.759 3.071 9.998 Bi
3.539 0.012 12.494 Bi
-5.364 0.000 11.246 O
-2.682 1.548 3.749 O
-4.356 1.664 8.777 O
-1.126 -1.709 6.602 O
-3.619 -2.941 13.716 O
-2.851 -1.809 11.005 O
0.737 -4.604 8.777 O
-1.520 0.485 9.340 O
-0.917 1.830 6.602 O
-2.992 1.565 11.487 O
0.141 -3.373 11.487 O
0.340 -1.559 9.340 O
-1.180 -1.074 13.152 O
2.043 -0.121 6.602 O
2.682 1.548 3.749 O
-2.043 0.121 15.891 O
1.180 1.074 9.340 O
-0.340 1.559 13.152 O
-0.141 3.373 11.005 O
2.992 -1.565 11.005 O
0.917 -1.830 15.891 O
1.520 -0.485 13.152 O
-0.737 4.604 13.716 O
2.851 1.809 11.487 O
3.619 2.941 8.777 O
1.126 1.709 15.891 O
4.356 -1.664 13.716 O
```

***

# 6
DFT (SCAN) results for a crystal of Si2AsAu relaxed with PBEsol.

Values from the calculation:
- volume (Å³ per cell) = 69.50
- formation energy from raw total energies (eV per atom) = 0.33

Cell and atoms, written as POSCAR:
```
Si2AsAu
1.0
-1.728 1.942 5.178
1.728 -1.942 5.178
1.728 1.942 -5.178
Si As Au
2 1 1
Cartesian
0.000 0.000 0.000 Si
0.000 1.942 3.251 Si
1.728 0.000 1.898 As
0.000 0.000 5.051 Au
```

***

# 7
DFT (SCAN) results for a crystal of MgAgPt2 relaxed with PBEsol.

Values from the calculation:
- volume (Å³ per cell) = 61.91
- formation energy from the elements (meV/atom) = -518

Cell and atoms, written as POSCAR:
```
MgAgPt2
1.0
3.970 0.000 0.000
0.000 3.970 0.000
0.000 0.000 3.929
Mg Ag Pt
1 1 2
Cartesian
0.000 0.000 0.000 Mg
1.985 1.985 0.000 Ag
0.000 1.985 1.964 Pt
1.985 0.000 1.964 Pt
```

***

# 8
DFT (SCAN) results for a crystal of Ni2AgIr relaxed with PBEsol.

Values from the calculation:
- volume (Å³ per cell) = 51.57
- relative energy among the computed polymorphs (eV per atom) = 0.0961
- formation energy from the elements (meV/atom) = 343

Cell and atoms, written as POSCAR:
```
Ni2AgIr
1.0
0.000 2.954 2.954
2.954 0.000 2.954
2.954 2.954 0.000
Ni Ag Ir
2 1 1
Cartesian
1.477 1.477 1.477 Ni
4.431 4.431 4.431 Ni
0.000 0.000 0.000 Ag
2.954 2.954 2.954 Ir
```

***

Q: Which value of volume does entry 7 give?
A: 61.91 Å³ per cell

***

Q: Look up the volume of the second one.
A: 100.68 Å³ per cell

***

Q: What is the volume in the second record?
A: 100.68 Å³ per cell

***

Q: Among the records above, which one has the lowest volume?
A: Ni2AgIr